Below is crystalline CoTc3Ni at its relaxed geometry, with properties calculated at the PBE level.

Unit cell a=4.3512 b=4.3512 c=4.3512 alpha=90.00 beta=90.00 gamma=90.00
Closest atoms and distances in Å follow each position.
Space group Pm-3m (No. 221)
Inequivalent atoms, fractional coordinates:
Co 0.0000 0.0000 0.0000 (multiplicity 1)  12 Tc 3.08
Tc 0.0000 0.5000 0.5000 (multiplicity 3)  2 Ni 2.18
Ni 0.5000 0.5000 0.5000 (multiplicity 1)  6 Tc 2.18

## Properties
Total magnetization   0.00 Bohr magnetons per cell
Crystal system   cubic
E above lowest polymorph   234 meV per atom